(1)
VASP calculation (PBE) on a geometry-optimized KCaSb4 structure.

Lattice parameters (Å, degrees): 9.1204 9.1204 9.1204 90.00 90.00 90.00
Last column: nearest neighbours and their distance in Å.
Space group F-43m (No. 216)
Asymmetric unit:
1 K 0.0000 0.0000 0.0000 (multiplicity 4)  12 Sb 3.78, 4 Ca 3.95
2 Ca 0.2500 0.2500 0.2500 (multiplicity 4)  12 Sb 3.78, 4 K 3.95
3 Sb 0.1244 0.1244 0.6244 (multiplicity 16)  6 Sb 3.21-3.24

electronic total energy = -3.53 eV/atom
ρ = 5.0 g cm⁻³
E_form (uncorrected) = -267.4 meV/atom



(2)
VASP calculation (PBE) on a geometry-optimized KCaSb3 structure.

Lattice parameters (Å, degrees): 5.7756 5.7756 5.7756 90.00 90.00 90.00
Last column: nearest neighbours and their distance in Å.
Space group Pm-3m (No. 221)
Asymmetric unit:
1 K 0.0000 0.0000 0.0000 (multiplicity 1)  6 Sb 2.89
2 Ca 0.5000 0.5000 0.5000 (multiplicity 1)  12 Sb 4.08
3 Sb 0.0000 0.0000 0.5000 (multiplicity 3)  2 K 2.89

electronic total energy = -2.44 eV/atom
ρ = 3.8 g cm⁻³
ΔE to the lowest computed polymorph = 571 meV per atom
E_form (uncorrected) = 652.2 meV/atom



| no. | spin magnetization (μB/f.u.) |
| --- | --- |
| 1 | 0.000 |
| 2 | 0.009 |